Mg3CoSn: optimized geometry, PBE.

It has space group Pm-3m (No. 221), with a = 4.830 Å, b = 4.830 Å, c = 4.830 Å, α = 90.00°, β = 90.00° and γ = 90.00°. Symmetry generates all atoms from Mg at (0.000, 0.000, 0.500), Co at (0.000, 0.000, 0.000) and Sn at (0.500, 0.500, 0.500).

The value obtained for the energy above the most stable polymorph in this dataset is 0 meV/atom.



Mg2CoSn2: optimized geometry, PBE.

It has space group P2_1/m (No. 11), with a = 6.000 Å, b = 4.309 Å, c = 8.578 Å, α = 90.00°, β = 101.90° and γ = 90.00°. Symmetry generates all atoms from Mg at (0.033, 0.250, 0.121), Mg at (0.393, 0.250, 0.600), Co at (0.227, 0.250, 0.861), Sn at (0.097, 0.750, 0.381) and Sn at (0.465, 0.750, 0.869).

The value obtained for the energy above the most stable polymorph in this dataset is 20 meV/atom.



MgCo4Sn: optimized geometry, PBE.

It has space group F-43m (No. 216), with a = 6.866 Å, b = 6.866 Å, c = 6.866 Å, α = 90.00°, β = 90.00° and γ = 90.00°. Symmetry generates all atoms from Mg at (0.000, 0.000, 0.000), Co at (0.125, 0.125, 0.375) and Sn at (0.250, 0.250, 0.750).

As for the total energy: -5.638 eV/atom.



MgCo2Sn: optimized geometry, PBE.

It has space group I-42d (No. 122), with a = 6.951 Å, b = 6.951 Å, c = 5.473 Å, α = 90.00°, β = 90.00° and γ = 90.00°. Symmetry generates all atoms from Mg at (0.000, 0.000, 0.000), Co at (0.244, 0.250, 0.625) and Sn at (0.000, 0.000, 0.500).

As for the total energy: -4.455 eV/atom.



Mg2CoSn2: optimized geometry, PBE.

It has space group I4_1/amd (No. 141, origin choice 2), with a = 4.315 Å, b = 4.315 Å, c = 22.893 Å, α = 90.00°, β = 90.00° and γ = 90.00°. Symmetry generates all atoms from Mg at (0.000, 0.250, 0.050), Co at (0.000, 0.250, 0.375) and Sn at (0.000, 0.250, 0.183).

The value obtained for the energy above the most stable polymorph in this dataset is 0 meV/atom.



MgCo3Sn: optimized geometry, PBE.

It has space group Pm-3m (No. 221), with a = 4.673 Å, b = 4.673 Å, c = 4.673 Å, α = 90.00°, β = 90.00° and γ = 90.00°. Symmetry generates all atoms from Mg at (0.000, 0.000, 0.000), Co at (0.000, 0.500, 0.500) and Sn at (0.500, 0.500, 0.500).

As for the total energy: -4.272 eV/atom.



Mg3CoSn3: optimized geometry, PBE.

It has space group P6_3/mmc (No. 194), with a = 8.8591 Å, b = 8.8591 Å, c = 4.4333 Å, α = 90.00°, β = 90.00° and γ = 120.00°. Symmetry generates all atoms from Mg at (0.1188, 0.5594, 0.2500), Co at (0.3333, 0.6667, 0.7500) and Sn at (0.1587, 0.3174, 0.7500).

As for the total energy: -3.470 eV/atom.



SrMgCoSn2: optimized geometry, PBE.

It has space group P4/mmm (No. 123), with a = 5.271 Å, b = 5.271 Å, c = 5.902 Å, α = 90.00°, β = 90.00° and γ = 90.00°. Symmetry generates all atoms from Sr at (0.000, 0.000, 0.000), Mg at (0.000, 0.000, 0.500), Co at (0.500, 0.500, 0.000) and Sn at (0.000, 0.500, 0.500).

The value obtained for the energy above the most stable polymorph in this dataset is 1069 meV/atom.



SrMgCoSn2: optimized geometry, PBE.

It has space group P4/mmm (No. 123), with a = 4.997 Å, b = 4.997 Å, c = 4.932 Å, α = 90.00°, β = 90.00° and γ = 90.00°. Symmetry generates all atoms from Sr at (0.000, 0.000, 0.000), Mg at (0.500, 0.500, 0.000), Co at (0.500, 0.500, 0.500) and Sn at (0.000, 0.500, 0.500).

The value obtained for the energy above the most stable polymorph in this dataset is 0 meV/atom.



Mg2TlCoSn: optimized geometry, PBE.

It has space group P4/mmm (No. 123), with a = 4.984 Å, b = 4.984 Å, c = 4.796 Å, α = 90.00°, β = 90.00° and γ = 90.00°. Symmetry generates all atoms from Mg at (0.000, 0.500, 0.000), Tl at (0.000, 0.000, 0.500), Co at (0.500, 0.500, 0.000) and Sn at (0.500, 0.500, 0.500).

As for the total energy: -3.316 eV/atom.



SrMgCo3: optimized geometry, PBE.

It has space group Pm-3m (No. 221), with a = 4.664 Å, b = 4.664 Å, c = 4.664 Å, α = 90.00°, β = 90.00° and γ = 90.00°. Symmetry generates all atoms from Sr at (0.000, 0.000, 0.000), Mg at (0.500, 0.500, 0.500) and Co at (0.000, 0.500, 0.500).

The value obtained for the energy above the most stable polymorph in this dataset is 0 meV/atom.



Sr2MgCo2: optimized geometry, PBE.

It has space group P4/mbm (No. 127), with a = 7.510 Å, b = 7.510 Å, c = 4.551 Å, α = 90.00°, β = 90.00° and γ = 90.00°. Symmetry generates all atoms from Sr at (0.178, 0.322, 0.000), Mg at (0.000, 0.000, 0.500) and Co at (0.104, 0.604, 0.500).

As for the total energy: -3.542 eV/atom.